NiSb2Mo | PBE | relaxed

a b c (Å): 4.999 4.999 4.999
angles (deg): 135.69 121.71 76.04
Atoms (fractional coordinates):
Sb (0.028, 0.028, 0.000)
Ni (0.250, 0.750, 0.500)
Sb (0.472, 0.472, 0.000)
Mo (0.750, 0.250, 0.500)

The excess energy over the best structure of this formula in the dataset is 287 meV/atom. Its space group is No. 71. For the energy relative to the elements, uncorrected, the calculation gives 0.296 eV/atom.